IrPd3N | PBE | relaxed

Computed properties:
Its formation energy (no corrections) is 2.1387 eV/atom. The calculation puts the electronic total energy at -4.414 eV per atom.

Cell and atoms, written as CIF:
```
data_IrPd3N
_cell_length_a 4.881
_cell_length_b 4.881
_cell_length_c 4.881
_cell_angle_alpha 90.00
_cell_angle_beta 90.00
_cell_angle_gamma 90.00
_space_group_name_H-M_alt 'P 1'
_space_group_IT_number 1
loop_
_space_group_symop_operation_xyz
'x,y,z'
loop_
_atom_site_label
_atom_site_type_symbol
_atom_site_fract_x
_atom_site_fract_y
_atom_site_fract_z
Ir1 Ir 0.000 0.000 0.000
Pd1 Pd 0.000 0.000 0.500
Pd2 Pd 0.000 0.500 0.000
Pd3 Pd 0.500 0.000 0.000
N1 N 0.500 0.500 0.500
```